A relaxed Li4V5CuClO15 crystal, computed with GGA+U.

- crystal system = tetragonal
- symmetry = No. 75
- calculated total energy (eV for the cell shown) = -171.418

a = 8.955 Å, b = 8.955 Å, c = 5.596 Å
α = 90.00°, β = 90.00°, γ = 90.00°
Site moments in Bohr magnetons follow the coordinates.
Atoms (fractional coordinates):
1 V 0.500 0.500 0.865  0.00
2 V 0.358 0.859 0.903  0.01
3 O 0.310 0.421 0.779  0.00
4 Li 0.815 0.826 0.438  0.00
5 Li 0.185 0.174 0.438  0.00
6 O 0.200 0.915 0.742  0.07
7 O 0.316 0.836 0.191  0.01
8 Cl 0.000 0.000 0.267  0.01
9 O 0.164 0.316 0.191  0.01
10 O 0.000 0.500 0.870  0.00
11 Li 0.174 0.815 0.438  0.00
12 O 0.085 0.200 0.742  0.07
13 O 0.421 0.690 0.779  0.00
14 V 0.642 0.141 0.903  0.01
15 O 0.915 0.800 0.742  0.07
16 O 0.500 0.000 0.870  0.00
17 O 0.684 0.164 0.191  0.01
18 V 0.859 0.642 0.903  0.01
19 V 0.141 0.358 0.903  0.01
20 O 0.579 0.310 0.779  0.00
21 O 0.690 0.579 0.779  0.00
22 Li 0.826 0.185 0.438  0.00
23 Cu 0.000 0.000 0.798  0.63
24 O 0.500 0.500 0.152  0.00
25 O 0.800 0.085 0.742  0.07
26 O 0.836 0.684 0.191  0.01